(1)
NbInCuTeSe2 GGA-PBE relaxed; crystal system = orthorhombic; total energy = -4.815 eV per atom
1.0
1.844 -7.597 0.000
1.844 7.597 0.000
0.000 0.000 10.282
Nb In Cu Te Se
2 2 2 2 4
Direct
0.000 0.000 0.000 Nb
0.000 0.000 0.500 Nb
0.227 0.773 0.750 In
0.773 0.227 0.250 In
0.463 0.537 0.250 Cu
0.537 0.463 0.750 Cu
0.084 0.916 0.250 Te
0.916 0.084 0.750 Te
0.379 0.621 0.052 Se
0.379 0.621 0.448 Se
0.621 0.379 0.552 Se
0.621 0.379 0.948 Se

(2)
LaZrO3 GGA-PBE relaxed; crystal system = trigonal; total energy = -8.736 eV per atom
1.0
2.888 1.667 5.241
-2.888 1.667 5.241
0.000 -3.334 5.241
La Zr O
2 2 6
Direct
0.136 0.136 0.136 La
0.864 0.864 0.864 La
0.345 0.345 0.345 Zr
0.655 0.655 0.655 Zr
0.058 0.464 0.710 O
0.290 0.942 0.536 O
0.464 0.710 0.058 O
0.536 0.290 0.942 O
0.710 0.058 0.464 O
0.942 0.536 0.290 O

(3)
Nd2TmCu4Ge4 GGA-PBE relaxed; crystal system = orthorhombic; total energy = -4.903 eV per atom
1.0
-2.154 3.323 7.093
2.154 -3.323 7.093
2.154 3.323 -7.093
Nd Tm Cu Ge
2 1 4 4
Direct
0.132 0.132 0.000 Nd
0.868 0.868 0.000 Nd
0.500 0.000 0.500 Tm
0.147 0.334 0.814 Cu
0.480 0.666 0.814 Cu
0.520 0.334 0.186 Cu
0.853 0.666 0.186 Cu
0.197 0.500 0.697 Ge
0.286 0.786 0.500 Ge
0.714 0.214 0.500 Ge
0.803 0.500 0.303 Ge

(4)
Ho4BI3Cl2 GGA-PBE relaxed; crystal system = monoclinic; total energy = -4.644 eV per atom
1.0
9.183 -1.980 0.000
9.183 1.980 0.000
-1.520 0.000 8.343
Ho B I Cl
4 1 3 2
Direct
0.001 0.001 0.304 Ho
0.363 0.363 0.431 Ho
0.637 0.637 0.569 Ho
0.999 0.999 0.696 Ho
0.500 0.500 0.500 B
0.176 0.176 0.315 I
0.500 0.500 0.000 I
0.824 0.824 0.685 I
0.151 0.151 0.794 Cl
0.849 0.849 0.206 Cl

(5)
Co2H GGA-PBE relaxed; crystal system = tetragonal; total energy = -5.802 eV per atom
1.0
4.268 0.000 0.000
0.000 4.268 0.000
0.000 0.000 2.593
Co H
4 2
Direct
0.206 0.206 0.000 Co
0.294 0.706 0.500 Co
0.706 0.294 0.500 Co
0.794 0.794 0.000 Co
0.000 0.000 0.500 H
0.500 0.500 0.000 H

(6)
CuNi2Pd2 GGA-PBE relaxed; ΔH_f (0 K) = 450 meV/atom; energy above the most stable polymorph in this dataset = 0.549 eV/f.u.; crystal system = tetragonal
1.0
-1.844 1.844 5.473
1.844 -1.844 5.473
1.844 1.844 -5.473
Cu Ni Pd
1 2 2
Direct
0.000 0.000 0.000 Cu
0.402 0.402 0.000 Ni
0.598 0.598 0.000 Ni
0.250 0.750 0.500 Pd
0.750 0.250 0.500 Pd

(7)
HoTmIn5 GGA-PBE relaxed; crystal system = tetragonal; total energy = -3.535 eV per atom
1.0
4.667 0.000 0.000
0.000 4.667 0.000
0.000 0.000 8.458
Ho Tm In
1 1 5
Direct
0.000 0.000 0.000 Ho
0.000 0.000 0.500 Tm
0.000 0.500 0.266 In
0.000 0.500 0.734 In
0.500 0.000 0.266 In
0.500 0.000 0.734 In
0.500 0.500 0.000 In

(8)
LuPbAu GGA-PBE relaxed; crystal system = hexagonal; total energy = -4.112 eV per atom
1.0
8.348 0.000 0.000
-4.174 7.229 0.000
0.000 0.000 3.583
Lu Pb Au
3 3 3
Direct
0.000 0.297 0.000 Lu
0.297 0.000 0.000 Lu
0.703 0.703 0.000 Lu
0.000 0.000 0.500 Pb
0.333 0.667 0.000 Pb
0.667 0.333 0.000 Pb
0.000 0.629 0.500 Au
0.371 0.371 0.500 Au
0.629 0.000 0.500 Au

(9)
TlB4Os GGA-PBE relaxed; energy above the most stable polymorph in this dataset = 0.000 eV/f.u.; crystal system = hexagonal
1.0
3.003 0.000 0.000
-1.502 2.601 0.000
0.000 0.000 9.050
Tl B Os
1 4 1
Direct
0.000 0.000 0.000 Tl
0.333 0.667 0.314 B
0.333 0.667 0.686 B
0.667 0.333 0.314 B
0.667 0.333 0.686 B
0.000 0.000 0.500 Os

(10)
PaSnPb GGA-PBE relaxed; energy above the most stable polymorph in this dataset = 0.652 eV/f.u.; crystal system = cubic
1.0
0.000 3.667 3.667
3.667 0.000 3.667
3.667 3.667 0.000
Pa Sn Pb
1 1 1
Direct
0.000 0.000 0.000 Pa
0.250 0.250 0.250 Sn
0.750 0.750 0.750 Pb

(11)
AlPt2 GGA-PBE relaxed; crystal system = cubic; total energy = -3.846 eV per atom
1.0
0.000 5.368 5.368
5.368 0.000 5.368
5.368 5.368 0.000
Al Pt
2 4
Direct
0.125 0.125 0.125 Al
0.875 0.875 0.875 Al
0.000 0.000 0.000 Pt
0.000 0.000 0.500 Pt
0.000 0.500 0.000 Pt
0.500 0.000 0.000 Pt

(12)
SrAlZn2Si GGA-PBE relaxed; crystal system = tetragonal; total energy = -2.971 eV per atom
1.0
-2.150 2.150 5.417
2.150 -2.150 5.417
2.150 2.150 -5.417
Sr Al Zn Si
1 1 2 1
Direct
0.000 0.000 0.000 Sr
0.618 0.618 0.000 Al
0.255 0.755 0.500 Zn
0.755 0.255 0.500 Zn
0.386 0.386 0.000 Si

no.,volume (Å³ per cell),mass density (g/cm³)
1,288,6.42
2,151,6.10
3,203,8.19
4,303,6.14
5,47,8.36
6,74,8.78
7,184,8.19
8,216,13.34
9,71,10.29
10,99,9.38
11,309,4.48
12,100,4.53